Record 1
Material: LaGdSn
Method: DFT, PBE-GGA
State: relaxed

Unit cell a=5.9146 b=5.9146 c=5.9146 alpha=138.32 beta=138.32 gamma=60.42
Atoms (fractional coordinates):
La: 0.0000 0.0000 0.0000
Gd: 0.3028 0.3028 0.0000
Sn: 0.6595 0.6595 0.0000

E_form = -0.519 eV/atom
Relative energy among the computed polymorphs = 0 meV/atom
Space-group type = I4mm, No. 107


Record 2
Material: CaSm2Er3Te6
Method: DFT, PBE-GGA
State: relaxed

Unit cell a=9.8448 b=9.8448 c=8.8130 alpha=103.40 beta=103.40 gamma=25.66
Atoms (fractional coordinates):
Ca: 0.0000 0.0000 0.0000
Sm: 0.3267 0.3267 0.6548
Sm: 0.6733 0.6733 0.3452
Er: 0.0000 0.0000 0.5000
Er: 0.3309 0.3309 0.1721
Er: 0.6691 0.6691 0.8279
Te: 0.1611 0.1611 0.5887
Te: 0.1672 0.1672 0.0764
Te: 0.4993 0.4993 0.2536
Te: 0.5007 0.5007 0.7464
Te: 0.8328 0.8328 0.9236
Te: 0.8389 0.8389 0.4113

Space-group type = C2/m, No. 12
Formation energy (no corrections) = -16.1 eV per formula unit